A relaxed structure of NaMo3I. Source: the Open Quantum Materials Database, functional GGA-PBE.

Cell lengths 4.9400, 4.9400, 4.9400 Å; angles 90.00, 90.00, 90.00 degrees
Last column: nearest neighbours and their distance in Å.
Positions (direct):
I 0.5000 0.5000 0.5000  6 Mo 2.47
Mo 0.5000 0.5000 0.0000  2 I 2.47
Mo 0.5000 0.0000 0.5000  2 I 2.47
Mo 0.0000 0.5000 0.5000  2 I 2.47
Na 0.0000 0.0000 0.0000  12 Mo 3.49

Total DFT energy (no corrections) in eV per atom: -5.03
M_tot in μB/f.u.: 0.0